1.
Ac2Sn2Au3 | GGA-PBE | optimized geometry

Structure (POSCAR):
```
Ac2Sn2Au3
1.0
2.229 -10.774 0.000
2.229 10.774 0.000
0.000 0.000 7.983
Ac Sn Au
4 4 6
Cartesian
2.229 9.622 5.987
2.229 7.522 1.996
2.229 -7.522 5.987
2.229 -9.622 1.996
2.229 3.964 0.451
2.229 3.964 3.540
2.229 -3.964 4.442
2.229 -3.964 7.532
2.229 5.940 5.987
2.229 1.261 4.551
2.229 1.261 7.423
2.229 -1.261 0.560
2.229 -1.261 3.432
2.229 -5.940 1.996
```

Computed properties:
crystal system = orthorhombic
ΔH_f (0 K) = -0.66 eV/atom
total magnetization = 0.0 Bohr magnetons per cell
distance to the lowest polymorph of the same formula = 9 meV per atom

2.
Ac5Sn5Au2 | GGA-PBE | optimized geometry

Structure (POSCAR):
```
Ac5Sn5Au2
1.0
8.576 -2.413 0.000
8.576 2.413 0.000
-8.029 0.000 9.429
Ac Sn Au
5 5 2
Cartesian
0.000 0.000 0.000
-1.458 0.000 3.927
-3.237 0.000 7.770
12.359 0.000 1.659
10.580 0.000 5.502
1.844 0.000 3.016
6.284 0.000 1.442
4.561 0.000 4.715
2.838 0.000 7.987
7.278 0.000 6.413
0.116 0.000 7.077
9.006 0.000 2.352
```

Computed properties:
crystal system = monoclinic
ΔH_f (0 K) = -0.73 eV/atom
total magnetization = 0.0 Bohr magnetons per cell

3.
Ac2Sn3Au2 | GGA-PBE | optimized geometry

Structure (POSCAR):
```
Ac2Sn3Au2
1.0
11.551 0.000 0.000
0.000 4.598 0.000
-0.911 0.000 7.428
Ac Sn Au
4 6 4
Cartesian
1.101 0.000 2.415
3.764 2.299 5.013
6.876 2.299 2.415
9.539 0.000 5.013
0.000 2.299 0.000
1.400 0.000 6.387
3.464 2.299 1.041
5.775 0.000 0.000
7.176 2.299 6.387
9.240 0.000 1.041
0.534 2.299 4.741
4.330 0.000 2.688
6.310 0.000 4.741
10.106 2.299 2.688
```

Computed properties:
crystal system = monoclinic
ΔH_f (0 K) = -0.65 eV/atom
total magnetization = 0.0 Bohr magnetons per cell
distance to the lowest polymorph of the same formula = 24 meV per atom

4.
Ac4Sn5Au2 | GGA-PBE | optimized geometry

Structure (POSCAR):
```
Ac4Sn5Au2
1.0
7.932 0.000 0.000
0.000 4.678 0.000
-0.060 0.000 9.365
Ac Sn Au
4 5 2
Cartesian
1.747 0.000 3.414
1.888 0.000 8.350
5.984 0.000 1.015
6.125 0.000 5.951
0.926 2.339 5.851
3.485 2.339 1.481
3.936 2.339 4.683
4.387 2.339 7.885
6.947 2.339 3.515
0.681 2.339 1.204
7.191 2.339 8.162
```

Computed properties:
crystal system = monoclinic
ΔH_f (0 K) = -0.70 eV/atom
total magnetization = 0.0 Bohr magnetons per cell